#A
NaGd2Tm | PBE | relaxed

The structure in POSCAR format:
```
NaGd2Tm
1.0
3.5028 0.0000 0.0000
1.7514 3.0335 0.0000
1.7514 1.0112 12.6185
Gd Na Tm
2 1 1
Cartesian
1.7514 1.0112 9.1145
5.2542 3.0335 3.5040
0.0000 0.0000 0.0000
3.5028 2.0223 6.3093
```

Calculated values
Size of the total moment = 14.9 μB per cell
ρ = 6.27 g/cm³

---

#B
NaGd2Tm | PBE | relaxed

The structure in POSCAR format:
```
NaGd2Tm
1.0
-1.4846 2.9519 1.1407
-2.9647 -1.7380 0.6391
3.3917 -2.1328 9.9335
Gd Na Tm
2 1 1
Cartesian
2.6124 -1.6427 7.6510
0.7793 -0.4901 2.2825
-0.5288 -0.4594 5.8566
-2.2247 0.6070 0.8899
```

Calculated values
Size of the total moment = 14.9 μB per cell
ρ = 6.43 g/cm³

---

Which one is most stable, and which one is least stable? #B is the most stable of them, while #A is the least stable.

---

#A
NaGdY | PBE | relaxed

The structure in POSCAR format:
```
NaGdY
1.0
3.5589 0.0000 0.0000
0.0000 3.5589 0.0000
-1.7794 -1.7794 8.0222
Y Na Gd
1 1 1
Cartesian
1.7794 1.7794 2.8076
0.0000 0.0000 0.0186
0.0000 0.0000 5.1960
```

Calculated values
Size of the total moment = 7.8 μB per cell
ρ = 4.40 g/cm³

---

#B
NaGdY | PBE | relaxed

The structure in POSCAR format:
```
NaGdY
1.0
3.5574 0.0000 0.0000
-1.7787 3.0808 0.0000
0.0000 0.0000 9.2357
Y Na Gd
1 1 1
Cartesian
0.0000 2.0539 6.0144
0.0000 0.0000 9.2230
1.7787 1.0269 3.2340
```

Calculated values
Size of the total moment = 7.6 μB per cell
ρ = 4.42 g/cm³

---

Which one is most stable, and which one is least stable? #B is the most stable of them, while #A is the least stable.

---

#A
NaGdY2 | PBE | relaxed

The structure in POSCAR format:
```
NaGdY2
1.0
-0.9816 -0.8729 -3.2941
2.1213 -2.0110 -2.0081
-5.0445 -10.9369 2.4926
Y Na Gd
2 1 1
Cartesian
-2.8601 -10.2396 -2.1610
-1.0447 -3.5812 -0.6486
0.0000 0.0000 0.0000
-1.9524 -6.9104 -1.4048
```

Calculated values
Size of the total moment = 7.3 μB per cell
ρ = 4.50 g/cm³

---

#B
NaGdY2 | PBE | relaxed

The structure in POSCAR format:
```
NaGdY2
1.0
3.5505 0.0000 0.0000
0.0000 3.5505 0.0000
0.0000 0.0000 10.5547
Y Na Gd
2 1 1
Cartesian
0.0000 0.0000 8.1008
0.0000 0.0000 2.4538
1.7753 1.7753 5.2773
1.7753 1.7753 0.0000
```

Calculated values
Size of the total moment = 7.2 μB per cell
ρ = 4.47 g/cm³

---

Which one is most stable, and which one is least stable? #A is the most stable of them, while #B is the least stable.

---

#A
NaGd2Y | PBE | relaxed

The structure in POSCAR format:
```
NaGd2Y
1.0
-2.4210 1.6626 1.9593
-3.1892 0.6920 -1.3471
-6.1017 -10.4076 4.4726
Y Na Gd
1 1 2
Cartesian
-5.8559 -4.0265 2.5424
0.0000 0.0000 0.0000
-4.9345 -7.3204 3.2952
-6.7774 -0.7326 1.7896
```

Calculated values
Size of the total moment = 15.0 μB per cell
ρ = 5.16 g/cm³

---

#B
NaGd2Y | PBE | relaxed

The structure in POSCAR format:
```
NaGd2Y
1.0
-0.8030 3.3234 -0.8219
-0.8275 0.6307 3.3590
10.1993 2.9488 1.9589
Y Na Gd
1 1 2
Cartesian
-0.8152 1.9771 1.2685
4.2844 3.4514 2.2480
7.8213 2.2612 1.5022
2.3781 0.6875 0.4567
```

Calculated values
Size of the total moment = 14.9 μB per cell
ρ = 5.30 g/cm³

---

Which one is most stable, and which one is least stable? #B is the most stable of them, while #A is the least stable.

---

#A
NaGdZn2 | PBE | relaxed

The structure in POSCAR format:
```
NaGdZn2
1.0
-0.8954 2.8045 -4.0551
-3.0360 -1.7038 -3.6042
-4.5121 2.0760 -0.6641
Na Zn Gd
1 2 1
Cartesian
0.0000 0.0000 0.0000
-2.1109 0.7942 -2.0808
-6.3326 2.3825 -6.2425
-4.2217 1.5883 -4.1617
```

Calculated values
Size of the total moment = 7.3 μB per cell
ρ = 5.81 g/cm³

---

#B
NaGdZn2 | PBE | relaxed

The structure in POSCAR format:
```
NaGdZn2
1.0
-0.4983 -3.0183 1.7998
3.5069 -0.3108 0.4497
-0.4732 3.8755 6.3683
Na Zn Gd
1 2 1
Cartesian
1.5043 -1.6645 1.1247
-0.3492 2.8599 4.6994
-0.1240 1.0156 1.6689
1.2677 0.2732 4.3089
```

Calculated values
Size of the total moment = 7.5 μB per cell
ρ = 5.49 g/cm³

---

Which one is most stable, and which one is least stable? #B is the most stable of them, while #A is the least stable.

---

#A
NaGd2Zn | PBE | relaxed

The structure in POSCAR format:
```
NaGd2Zn
1.0
3.5894 0.0000 0.0000
0.0000 3.5894 0.0000
0.0000 0.0000 8.9591
Na Zn Gd
1 1 2
Cartesian
1.7947 1.7947 4.4796
1.7947 1.7947 0.0000
0.0000 0.0000 7.2419
0.0000 0.0000 1.7173
```

Calculated values
Size of the total moment = 15.1 μB per cell
ρ = 5.80 g/cm³

---

#B
NaGd2Zn | PBE | relaxed

The structure in POSCAR format:
```
NaGd2Zn
1.0
3.5090 0.0000 0.0000
1.7545 3.0389 0.0000
1.7545 1.0130 11.5793
Na Zn Gd
1 1 2
Cartesian
0.0000 0.0000 0.0000
3.5090 2.0259 5.7896
1.7545 1.0130 8.0278
5.2634 3.0389 3.5514
```

Calculated values
Size of the total moment = 14.9 μB per cell
ρ = 5.42 g/cm³

---

Which one is most stable, and which one is least stable? #A is the most stable of them, while #B is the least stable.